1.
Compound: NpUFe
Source: Alexandria via LeMat-Bulk
Functional: PBE-GGA
Structure: optimized geometry

Properties
Volume: 52 Å³ per cell
ΔE_f: 0.147 eV per atom
Energy relative to the lowest polymorph listed for this composition: 0.157 eV/atom
Energy: -10.7507 eV per atom
Symmetry: I4mm (107)

Unit cell a=3.452 b=3.452 c=5.018 alpha=110.12 beta=110.12 gamma=90.00
Last column: magnetic moment on the atom in μB.
Atoms (fractional coordinates):
Np 0.993 0.993 0.987  3.11
U 0.674 0.674 0.348  1.57
Fe 0.333 0.333 0.666  -0.95


2.
Compound: AlZnCu2
Source: Alexandria via LeMat-Bulk
Functional: PBE-GGA
Structure: optimized geometry

Properties
Volume: 53 Å³ per cell
ΔE_f: -0.130 eV per atom
Energy: -3.4324 eV per atom
Symmetry: Imm2 (44)

Unit cell a=4.975 b=4.975 c=4.975 alpha=145.34 beta=130.43 gamma=61.90
Atoms (fractional coordinates):
Zn 0.508 0.508 0.000
Al 0.243 0.743 0.500
Cu 0.995 0.995 0.000
Cu 0.754 0.254 0.500


3.
Compound: Nd8Cu2Hg
Source: Alexandria via LeMat-Bulk
Functional: PBE-GGA
Structure: optimized geometry

Properties
Volume: 329 Å³ per cell
ΔE_f: -0.033 eV per atom
Energy relative to the lowest polymorph listed for this composition: 0.081 eV/atom
Energy: -4.2723 eV per atom
Symmetry: Cm (8)

Unit cell a=5.597 b=8.229 c=8.229 alpha=114.94 beta=99.04 gamma=99.04
Atoms (fractional coordinates):
Nd 0.582 0.327 0.081
Nd 0.582 0.081 0.327
Nd 0.191 0.395 0.395
Nd 0.000 0.244 0.762
Nd 0.000 0.762 0.244
Nd 0.808 0.610 0.610
Nd 0.418 0.925 0.679
Nd 0.418 0.679 0.925
Cu 0.500 0.694 0.312
Cu 0.500 0.312 0.694
Hg 0.000 0.003 0.003